1.
## MnCrPt2 (PBE-GGA)

Data for an optimized crystal structure of MnCrPt2.

a b c (Å): 8.8738 2.8611 4.7454
angles (deg): 90.00 101.39 90.00
Closest atoms and distances in Å follow each position.
Space group C2/m (No. 12)
Symmetry-distinct sites (fractional):
Mn 0.0000 0.0000 0.0000 [2 per cell]  6 Pt 2.71-2.72, 4 Cr 2.77, 2 Mn 2.86
Cr 0.0000 0.5000 0.5000 [2 per cell]  6 Pt 2.70-2.72, 4 Mn 2.77, 2 Cr 2.86
Pt 0.2492 0.0000 0.7482 [4 per cell]  3 Cr 2.70-2.72, 3 Mn 2.71-2.72, 6 Pt 2.76-2.86

Computed properties:
Its formation energy is -182 meV per atom.

=====

2.
## Mn4CrPt (PBE-GGA)

Data for an optimized crystal structure of Mn4CrPt.

a b c (Å): 6.6220 6.6220 6.6220
angles (deg): 90.00 90.00 90.00
Closest atoms and distances in Å follow each position.
Space group F-43m (No. 216)
Symmetry-distinct sites (fractional):
Mn 0.1236 0.1236 0.1236 [16 per cell]  6 Mn 2.32-2.37
Cr 0.0000 0.0000 0.5000 [4 per cell]  12 Mn 2.75, 4 Pt 2.87
Pt 0.2500 0.2500 0.7500 [4 per cell]  12 Mn 2.74, 4 Cr 2.87

Computed properties:
Its formation energy is 21 meV per atom.

=====

3.
## TaMnCrPt2 (PBE-GGA)

Data for an optimized crystal structure of TaMnCrPt2.

a b c (Å): 4.6414 4.6414 3.9465
angles (deg): 90.00 90.00 90.00
Closest atoms and distances in Å follow each position.
Space group P4/mmm (No. 123)
Symmetry-distinct sites (fractional):
Ta 0.0000 0.0000 0.0000 [1 per cell]  8 Pt 3.05, 4 Mn 3.28
Mn 0.5000 0.5000 0.0000 [1 per cell]  2 Cr 1.97
Cr 0.5000 0.5000 0.5000 [1 per cell]  2 Mn 1.97
Pt 0.0000 0.5000 0.5000 [2 per cell]  2 Cr 2.32

Computed properties:
Its formation energy is 929 meV per atom.

=====

4.
## MnCr2TcPt (PBE-GGA)

Data for an optimized crystal structure of MnCr2TcPt.

a b c (Å): 4.4606 4.4606 4.8628
angles (deg): 90.00 90.00 90.00
Closest atoms and distances in Å follow each position.
Space group P4/mmm (No. 123)
Symmetry-distinct sites (fractional):
Mn 0.0000 0.0000 0.0000 [1 per cell]  4 Pt 3.15, 8 Cr 3.30
Cr 0.0000 0.5000 0.5000 [2 per cell]  2 Tc 2.23
Tc 0.5000 0.5000 0.5000 [1 per cell]  4 Cr 2.23, 2 Pt 2.43
Pt 0.5000 0.5000 0.0000 [1 per cell]  2 Tc 2.43

Computed properties:
Its formation energy is 1712 meV per atom.

=====

5.
## PuMnCr (PBE-GGA)

Data for an optimized crystal structure of PuMnCr.

a b c (Å): 5.0645 4.9450 7.3036
angles (deg): 90.00 97.66 90.00
Closest atoms and distances in Å follow each position.
Space group C2/m (No. 12)
Symmetry-distinct sites (fractional):
Pu 0.0675 0.0000 0.3255 [4 per cell]  4 Mn 2.43-2.65
Mn 0.0407 0.5000 0.2996 [4 per cell]  4 Pu 2.43-2.65
Cr 0.2500 0.2500 0.0000 [4 per cell]  4 Cr 2.47-2.53, 2 Mn 2.76

Computed properties:
Its formation energy is 370 meV per atom.

=====

6.
## PuMn4Cr (PBE-GGA)

Data for an optimized crystal structure of PuMn4Cr.

a b c (Å): 6.8747 6.8747 6.8747
angles (deg): 90.00 90.00 90.00
Closest atoms and distances in Å follow each position.
Space group F-43m (No. 216)
Symmetry-distinct sites (fractional):
Pu 0.0000 0.0000 0.0000 [4 per cell]  12 Mn 2.85, 4 Cr 2.98
Mn 0.1242 0.1242 0.3758 [16 per cell]  6 Mn 2.42-2.45
Cr 0.2500 0.2500 0.7500 [4 per cell]  12 Mn 2.85, 4 Pu 2.98

Computed properties:
Its formation energy is 276 meV per atom.

=====

7.
## Rb2Mn2Cr (PBE-GGA)

Data for an optimized crystal structure of Rb2Mn2Cr.

a b c (Å): 10.5195 10.5195 2.9322
angles (deg): 90.00 90.00 90.00
Closest atoms and distances in Å follow each position.
Space group P4/mbm (No. 127)
Symmetry-distinct sites (fractional):
Rb 0.2042 0.2958 0.0000 [4 per cell]  2 Rb 2.93
Mn 0.0846 0.5846 0.5000 [4 per cell]  1 Mn 2.52
Cr 0.0000 0.0000 0.0000 [2 per cell]  2 Cr 2.93

Computed properties:
Its formation energy is 1926 meV per atom.

=====

8.
## RbMn2Cr (PBE-GGA)

Data for an optimized crystal structure of RbMn2Cr.

a b c (Å): 4.8831 4.8831 15.4110
angles (deg): 90.00 90.00 90.00
Closest atoms and distances in Å follow each position.
Space group I4_1/amd (No. 141, origin choice 2)
Symmetry-distinct sites (fractional):
Rb 0.0000 0.2500 0.3750 [4 per cell]  8 Mn 3.34, 4 Cr 3.45
Mn 0.0000 0.0000 0.0000 [8 per cell]  2 Cr 2.28, 2 Mn 2.44
Cr 0.0000 0.2500 0.8750 [4 per cell]  4 Mn 2.28

Computed properties:
The energy relative to the lowest polymorph listed for this composition comes out at 0.0 kJ per mole of atoms. Its formation energy is 1771 meV per atom.